Entry 1:
The following is a PBE-GGA calculation of a relaxed Nd2Al3Ga3 crystal, from OQMD via LeMat-Bulk.

Results
Distance to the lowest polymorph of the same formula = 0 kJ/mol of formula units
Total energy = -34.0 eV/cell
Magnetic moment = 0.007 μB/cell

Lattice parameters (Å, degrees): 6.518 6.518 4.522 90.00 90.00 120.00
Atoms (fractional coordinates):
Nd (0.000, 0.000, 0.000)
Nd (0.333, 0.667, 0.500)
Al (0.385, 0.192, 0.500)
Al (0.808, 0.192, 0.500)
Al (0.808, 0.615, 0.500)
Ga (0.524, 0.048, 0.000)
Ga (0.524, 0.476, 0.000)
Ga (0.952, 0.476, 0.000)

***

Entry 2:
The following is a PBE-GGA calculation of a relaxed Nd2Al5Ga crystal, from OQMD via LeMat-Bulk.

Results
Total energy = -35.0 eV/cell
Magnetic moment = 0.010 μB/cell

Lattice parameters (Å, degrees): 4.571 6.529 6.529 59.84 90.00 90.00
Atoms (fractional coordinates):
Nd (0.000, 0.000, 0.000)
Nd (0.500, 0.335, 0.335)
Al (0.000, 0.525, 0.949)
Al (0.000, 0.949, 0.525)
Al (0.500, 0.385, 0.810)
Al (0.500, 0.809, 0.809)
Al (0.500, 0.810, 0.385)
Ga (0.000, 0.524, 0.524)

***

Entry 3:
The following is a PBE-GGA calculation of a relaxed Nd2AlGa5 crystal, from OQMD via LeMat-Bulk.

Results
Total energy = -32.9 eV/cell
Magnetic moment = 0.004 μB/cell

Lattice parameters (Å, degrees): 4.583 6.475 6.475 60.06 90.00 90.00
Atoms (fractional coordinates):
Nd (0.000, 0.000, 0.000)
Nd (0.500, 0.333, 0.333)
Al (0.000, 0.524, 0.524)
Ga (0.000, 0.523, 0.954)
Ga (0.000, 0.954, 0.523)
Ga (0.500, 0.379, 0.810)
Ga (0.500, 0.810, 0.379)
Ga (0.500, 0.810, 0.810)

***

Entry 4:
The following is a PBE-GGA calculation of a relaxed Nd2Al3Ga3 crystal, from OQMD via LeMat-Bulk.

Results
Distance to the lowest polymorph of the same formula = 4 kJ/mol of formula units
Total energy = -34.0 eV/cell
Magnetic moment = 0.007 μB/cell

Lattice parameters (Å, degrees): 4.563 6.502 6.502 60.03 90.00 90.00
Atoms (fractional coordinates):
Nd (0.000, 0.000, 0.000)
Nd (0.500, 0.334, 0.334)
Al (0.000, 0.525, 0.948)
Al (0.000, 0.948, 0.525)
Al (0.500, 0.806, 0.806)
Ga (0.000, 0.523, 0.523)
Ga (0.500, 0.380, 0.811)
Ga (0.500, 0.811, 0.380)

***

Entry 5:
The following is a PBE-GGA calculation of a relaxed NdAlGaPd2 crystal, from OQMD via LeMat-Bulk.

Results
Total energy = -52.2 eV/cell
Magnetic moment = 0.029 μB/cell

Lattice parameters (Å, degrees): 4.356 4.356 10.255 90.00 90.00 90.00
Atoms (fractional coordinates):
Nd (0.250, 0.250, 0.246)
Nd (0.750, 0.750, 0.754)
Al (0.250, 0.750, 0.500)
Al (0.750, 0.250, 0.500)
Ga (0.250, 0.250, 0.871)
Ga (0.750, 0.750, 0.129)
Pd (0.250, 0.250, 0.628)
Pd (0.250, 0.750, 0.000)
Pd (0.750, 0.250, 0.000)
Pd (0.750, 0.750, 0.372)

***

Entry 6:
The following is a PBE-GGA calculation of a relaxed NdAlGaPd2 crystal, from OQMD via LeMat-Bulk.

Results
Total energy = -52.2 eV/cell
Magnetic moment = 0.014 μB/cell

Lattice parameters (Å, degrees): 4.422 4.422 9.958 90.00 90.00 90.00
Atoms (fractional coordinates):
Nd (0.250, 0.250, 0.248)
Nd (0.750, 0.750, 0.752)
Al (0.250, 0.250, 0.622)
Al (0.750, 0.750, 0.378)
Ga (0.250, 0.750, 0.000)
Ga (0.750, 0.250, 0.000)
Pd (0.250, 0.250, 0.868)
Pd (0.250, 0.750, 0.500)
Pd (0.750, 0.250, 0.500)
Pd (0.750, 0.750, 0.132)

***

Entry 7:
The following is a PBE-GGA calculation of a relaxed AlGa2Ni crystal, from OQMD via LeMat-Bulk.

Results
Total energy = -15.3 eV/cell
Magnetic moment = 0.001 μB/cell

Lattice parameters (Å, degrees): 4.388 4.388 4.388 60.00 60.00 60.00
Atoms (fractional coordinates):
Al (0.000, 0.000, 0.000)
Ga (0.500, 0.500, 0.500)
Ga (0.750, 0.750, 0.750)
Ni (0.250, 0.250, 0.250)

***

Entry 8:
The following is a PBE-GGA calculation of a relaxed Al2GaNi5 crystal, from OQMD via LeMat-Bulk.

Results
Total energy = -42.5 eV/cell
Magnetic moment = 0.006 μB/cell

Lattice parameters (Å, degrees): 5.033 5.033 3.741 90.00 90.00 96.36
Atoms (fractional coordinates):
Al (0.218, 0.782, 0.000)
Al (0.782, 0.218, 0.000)
Ga (0.500, 0.500, 0.500)
Ni (0.000, 0.000, 0.500)
Ni (0.000, 0.500, 0.500)
Ni (0.276, 0.276, 0.000)
Ni (0.500, 0.000, 0.500)
Ni (0.724, 0.724, 0.000)

***

Entry 9:
The following is a PBE-GGA calculation of a relaxed AlGaNi2 crystal, from OQMD via LeMat-Bulk.

Results
Total energy = -20.0 eV/cell
Magnetic moment = 0.003 μB/cell

Lattice parameters (Å, degrees): 4.096 4.096 4.096 60.00 60.00 60.00
Atoms (fractional coordinates):
Al (0.000, 0.000, 0.000)
Ga (0.500, 0.500, 0.500)
Ni (0.250, 0.250, 0.250)
Ni (0.750, 0.750, 0.750)

***

Entry 10:
The following is a PBE-GGA calculation of a relaxed Al3GaNi2 crystal, from OQMD via LeMat-Bulk.

Results
Total energy = -27.9 eV/cell
Magnetic moment = 0.001 μB/cell

Lattice parameters (Å, degrees): 4.013 4.013 5.676 90.00 90.00 90.00
Atoms (fractional coordinates):
Al (0.000, 0.000, 0.000)
Al (0.000, 0.000, 0.500)
Al (0.500, 0.500, 0.000)
Ga (0.500, 0.500, 0.500)
Ni (0.000, 0.500, 0.249)
Ni (0.500, 0.000, 0.751)

***

Entry 11:
The following is a PBE-GGA calculation of a relaxed Pr3AlGaNi4 crystal, from OQMD via LeMat-Bulk.

Results
Total energy = -47.7 eV/cell
Magnetic moment = 0.000 μB/cell

Lattice parameters (Å, degrees): 5.545 5.545 8.342 98.34 98.34 44.12
Atoms (fractional coordinates):
Pr (0.000, 0.000, 0.000)
Pr (0.248, 0.248, 0.760)
Pr (0.624, 0.624, 0.380)
Al (0.946, 0.946, 0.592)
Ga (0.302, 0.302, 0.168)
Ni (0.362, 0.362, 0.466)
Ni (0.538, 0.538, 0.741)
Ni (0.710, 0.710, 0.019)
Ni (0.886, 0.886, 0.294)

***

Entry 12:
The following is a PBE-GGA calculation of a relaxed Pr2AlGaNi4 crystal, from OQMD via LeMat-Bulk.

Results
Total energy = -42.6 eV/cell
Magnetic moment = 0.000 μB/cell

Lattice parameters (Å, degrees): 4.195 4.195 9.572 90.00 90.00 120.00
Atoms (fractional coordinates):
Pr (0.333, 0.667, 0.250)
Pr (0.667, 0.333, 0.750)
Al (0.000, 0.000, 0.000)
Ga (0.000, 0.000, 0.500)
Ni (0.333, 0.667, 0.550)
Ni (0.333, 0.667, 0.949)
Ni (0.667, 0.333, 0.051)
Ni (0.667, 0.333, 0.450)

***

> Look up the magnetic moment of the second one.

0.010 μB/cell

***

> Among the records above, which one has the highest magnetic moment?

number 5